## Co3GePb (PBE)

Data for Co3GePb after structural relaxation.

Output
Its density of states at the Fermi level is 11.65 states/eV/f.u. For the energy above the most stable polymorph in this dataset, the calculation gives 972 meV/atom. Its space-group type is No. 221. The value obtained for the energy of formation is 785 kJ/mol of formula units. For the density, the calculation gives 6.883 g/cm³.

Cell and atoms, written as POSCAR:
```
Co3GePb
1.0
4.794 0.000 0.000
0.000 4.794 0.000
0.000 0.000 4.794
Co Ge Pb
3 1 1
direct
0.000 0.000 0.500
0.000 0.500 0.000
0.500 0.000 0.000
0.500 0.500 0.500
0.000 0.000 0.000
```